(1)
The following is a GGA-PBE calculation of a relaxed HfIn3Ni crystal, from Alexandria via LeMat-Bulk.

Structure (POSCAR):
```
HfIn3Ni
1.0
4.860 0.000 0.000
0.000 4.860 0.000
0.000 0.000 4.860
Hf In Ni
1 3 1
Direct
0.000 0.000 0.000
0.000 0.500 0.500
0.500 0.000 0.500
0.500 0.500 0.000
0.500 0.500 0.500
```

Summary:
Symmetry: Pm-3m, No. 221
ΔE to the lowest computed polymorph in kJ/mol of formula units: 0.0
Energy relative to the elements in meV per atom: 320
Density of states at the Fermi level in states/eV/cell: 2.65
V in Å³ per atom: 22.957
Total energy in eV/atom: -4.470

(2)
The following is a GGA-PBE calculation of a relaxed KSiSb2 crystal, from Alexandria via LeMat-Bulk.

Structure (POSCAR):
```
KSiSb2
1.0
0.000 3.809 3.809
3.809 0.000 3.809
3.809 3.809 0.000
K Si Sb
1 1 2
Direct
0.000 0.000 0.000
0.250 0.250 0.250
0.500 0.500 0.500
0.750 0.750 0.750
```

Summary:
Symmetry: F-43m, No. 216
Formation energy without anion corrections in meV per atom: 414
Density of states at the Fermi level in states/eV/cell: 3.91
V in Å³ per atom: 27.629
Total energy in eV/atom: -3.277

(3)
The following is a GGA-PBE calculation of a relaxed NbTeSe2 crystal, from Alexandria via LeMat-Bulk.

Structure (POSCAR):
```
NbTeSe2
1.0
1.699 0.981 9.552
-1.699 0.981 9.552
0.000 -1.961 9.552
Nb Te Se
1 1 2
Direct
0.000 0.000 0.000
0.500 0.500 0.500
0.085 0.085 0.085
0.915 0.915 0.915
```

Summary:
Symmetry: R-3m, No. 166
Formation energy without anion corrections in meV per atom: 480
Density of states at the Fermi level in states/eV/cell: 4.53
V in Å³ per atom: 23.870
Total energy in eV/atom: -4.565

(4)
The following is a GGA-PBE calculation of a relaxed Tb2Dy5Y crystal, from Alexandria via LeMat-Bulk.

Structure (POSCAR):
```
Tb2Dy5Y
1.0
7.107 0.000 0.000
0.000 14.214 0.000
0.000 0.000 5.015
Tb Dy Y
4 10 2
Direct
0.250 0.125 0.000
0.250 0.625 0.000
0.750 0.375 0.000
0.750 0.875 0.000
0.000 0.000 0.500
0.001 0.249 0.500
0.249 0.875 0.000
0.251 0.375 0.000
0.499 0.749 0.500
0.500 0.500 0.500
0.501 0.251 0.500
0.749 0.625 0.000
0.751 0.125 0.000
0.999 0.751 0.500
0.000 0.500 0.500
0.500 0.000 0.500
```

Summary:
Symmetry: Pbam, No. 55
Energy relative to the elements in meV per atom: 16
Density of states at the Fermi level in states/eV/cell: 19.06
V in Å³ per atom: 31.659
Total energy in eV/atom: -4.826

(5)
The following is a GGA-PBE calculation of a relaxed CaAcTbPb crystal, from Alexandria via LeMat-Bulk.

Structure (POSCAR):
```
CaAcTbPb
1.0
0.000 4.066 4.066
4.066 0.000 4.066
4.066 4.066 0.000
Ca Ac Tb Pb
1 1 1 1
Direct
0.000 0.000 0.000
0.250 0.250 0.250
0.500 0.500 0.500
0.750 0.750 0.750
```

Summary:
Symmetry: F-43m, No. 216
Energy relative to the elements in meV per atom: -19
Density of states at the Fermi level in states/eV/cell: 6.98
V in Å³ per atom: 33.622
Total energy in eV/atom: -3.631

(6)
The following is a GGA-PBE calculation of a relaxed K2TlO2 crystal, from Alexandria via LeMat-Bulk.

Structure (POSCAR):
```
K2TlO2
1.0
-3.327 5.235 3.272
3.327 -5.235 3.272
3.327 5.235 -3.272
K Tl O
4 2 4
Direct
0.155 0.109 0.263
0.345 0.609 0.954
0.655 0.391 0.046
0.845 0.891 0.737
0.250 0.750 0.500
0.750 0.250 0.500
0.098 0.711 0.809
0.402 0.211 0.612
0.598 0.789 0.388
0.902 0.289 0.191
```

Summary:
Symmetry: Ibam, No. 72
Formation energy without anion corrections in meV per atom: -922
ΔE to the lowest computed polymorph in kJ/mol of formula units: 11.3
Density of states at the Fermi level in states/eV/cell: 2.60
V in Å³ per atom: 22.794
Total energy in eV/atom: -3.818

(7)
The following is a GGA-PBE calculation of a relaxed NaSn2Bi crystal, from Alexandria via LeMat-Bulk.

Structure (POSCAR):
```
NaSn2Bi
1.0
4.186 0.000 0.000
0.000 4.186 0.000
0.000 0.000 6.845
Na Sn Bi
1 2 1
Direct
0.000 0.000 0.000
0.500 0.500 0.276
0.500 0.500 0.724
0.000 0.000 0.500
```

Summary:
Symmetry: P4/mmm, No. 123
Energy relative to the elements in meV per atom: -57
Density of states at the Fermi level in states/eV/cell: 2.07
V in Å³ per atom: 29.980
Total energy in eV/atom: -3.358

(8)
The following is a GGA-PBE calculation of a relaxed NaNdTlPd crystal, from Alexandria via LeMat-Bulk.

Structure (POSCAR):
```
NaNdTlPd
1.0
0.000 3.665 3.665
3.665 0.000 3.665
3.665 3.665 0.000
Na Nd Tl Pd
1 1 1 1
Direct
0.000 0.000 0.000
0.500 0.500 0.500
0.250 0.250 0.250
0.750 0.750 0.750
```

Summary:
Symmetry: F-43m, No. 216
Energy relative to the elements in meV per atom: -280
Density of states at the Fermi level in states/eV/cell: 2.76
V in Å³ per atom: 24.608
Total energy in eV/atom: -3.692

(9)
The following is a GGA-PBE calculation of a relaxed RbLiSn crystal, from Alexandria via LeMat-Bulk.

Structure (POSCAR):
```
RbLiSn
1.0
4.835 0.000 0.000
2.416 4.189 0.000
0.177 0.044 12.184
Rb Li Sn
2 2 2
Direct
0.176 0.170 0.190
0.824 0.830 0.810
0.166 0.167 0.515
0.834 0.833 0.485
0.497 0.499 0.613
0.503 0.501 0.387
```

Summary:
Symmetry: P-1, No. 2
ΔE to the lowest computed polymorph in kJ/mol of formula units: 0.0
Energy relative to the elements in meV per atom: -238
Density of states at the Fermi level in states/eV/cell: 1.68
V in Å³ per atom: 41.128
Total energy in eV/atom: -2.533

(10)
The following is a GGA-PBE calculation of a relaxed Hf2SnGe crystal, from Alexandria via LeMat-Bulk.

Structure (POSCAR):
```
Hf2SnGe
1.0
0.000 3.453 3.453
3.453 0.000 3.453
3.453 3.453 0.000
Hf Sn Ge
2 1 1
Direct
0.250 0.250 0.250
0.750 0.750 0.750
0.000 0.000 0.000
0.500 0.500 0.500
```

Summary:
Symmetry: Fm-3m, No. 225
ΔE to the lowest computed polymorph in kJ/mol of formula units: 88.2
Energy relative to the elements in meV per atom: -128
Density of states at the Fermi level in states/eV/cell: 4.79
V in Å³ per atom: 20.588
Total energy in eV/atom: -7.260

(11)
The following is a GGA-PBE calculation of a relaxed Mg2TcNi2 crystal, from Alexandria via LeMat-Bulk.

Structure (POSCAR):
```
Mg2TcNi2
1.0
6.171 0.000 0.000
0.000 6.171 0.000
0.000 0.000 3.986
Mg Tc Ni
4 2 4
Direct
0.175 0.325 0.000
0.325 0.825 0.000
0.675 0.175 0.000
0.825 0.675 0.000
0.000 0.000 0.500
0.500 0.500 0.500
0.131 0.631 0.500
0.369 0.131 0.500
0.631 0.869 0.500
0.869 0.369 0.500
```

Summary:
Symmetry: P4/mbm, No. 127
ΔE to the lowest computed polymorph in kJ/mol of formula units: 0.0
Energy relative to the elements in meV per atom: 71
Density of states at the Fermi level in states/eV/cell: 4.33
V in Å³ per atom: 15.176
Total energy in eV/atom: -4.953

(12)
The following is a GGA-PBE calculation of a relaxed NaTb3Fe crystal, from Alexandria via LeMat-Bulk.

Structure (POSCAR):
```
NaTb3Fe
1.0
5.303 0.000 0.000
0.000 5.303 0.000
0.000 0.000 5.303
Na Tb Fe
1 3 1
Direct
0.000 0.000 0.000
0.000 0.500 0.500
0.500 0.000 0.500
0.500 0.500 0.000
0.500 0.500 0.500
```

Summary:
Symmetry: Pm-3m, No. 221
Energy relative to the elements in meV per atom: 152
Density of states at the Fermi level in states/eV/cell: 5.48
V in Å³ per atom: 29.828
Total energy in eV/atom: -4.582

(13)
The following is a GGA-PBE calculation of a relaxed La2PmPr5Sc crystal, from Alexandria via LeMat-Bulk.

Structure (POSCAR):
```
La2PmPr5Sc
1.0
-4.329 4.329 8.434
4.329 -4.329 8.434
4.329 4.329 -8.434
La Pm Pr Sc
4 2 10 2
Direct
0.123 0.623 0.746
0.377 0.123 0.500
0.623 0.877 0.500
0.877 0.377 0.254
0.250 0.250 0.000
0.750 0.750 0.000
0.000 0.000 0.000
0.072 0.136 0.500
0.136 0.636 0.064
0.364 0.428 0.500
0.428 0.928 0.064
0.500 0.500 0.000
0.572 0.072 0.936
0.636 0.572 0.500
0.864 0.364 0.936
0.928 0.864 0.500
0.250 0.750 0.500
0.750 0.250 0.500
```

Summary:
Symmetry: I4/mcm, No. 140
Energy relative to the elements in meV per atom: 253
Density of states at the Fermi level in states/eV/cell: 27.19
V in Å³ per atom: 35.123
Total energy in eV/atom: -4.729

(14)
The following is a GGA-PBE calculation of a relaxed PmNd3Sm6Tm2 crystal, from Alexandria via LeMat-Bulk.

Structure (POSCAR):
```
PmNd3Sm6Tm2
1.0
3.136 -5.431 0.000
3.136 5.431 0.000
-2.092 0.000 11.820
Pm Nd Sm Tm
1 3 6 2
Direct
0.000 0.000 0.000
0.167 0.833 0.500
0.500 0.500 0.500
0.833 0.167 0.500
0.083 0.417 0.246
0.252 0.252 0.754
0.417 0.083 0.246
0.583 0.917 0.754
0.748 0.748 0.246
0.917 0.583 0.754
0.333 0.667 0.000
0.667 0.333 0.000
```

Summary:
Symmetry: C2/m, No. 12
Energy relative to the elements in meV per atom: 17
Density of states at the Fermi level in states/eV/cell: 16.59
V in Å³ per atom: 33.555
Total energy in eV/atom: -4.675

(15)
The following is a GGA-PBE calculation of a relaxed LiCe3Sm2S6 crystal, from Alexandria via LeMat-Bulk.

Structure (POSCAR):
```
LiCe3Sm2S6
1.0
3.457 -5.996 0.000
3.457 5.996 0.000
-2.313 0.000 6.533
Li Ce Sm S
1 3 2 6
Direct
0.000 0.000 0.000
0.167 0.833 0.500
0.500 0.500 0.500
0.833 0.167 0.500
0.334 0.666 0.000
0.666 0.334 0.000
0.080 0.405 0.242
0.244 0.244 0.757
0.405 0.080 0.242
0.595 0.920 0.758
0.756 0.756 0.243
0.920 0.595 0.758
```

Summary:
Symmetry: C2/m, No. 12
Formation energy without anion corrections in meV per atom: -1941
Density of states at the Fermi level in states/eV/cell: 17.70
V in Å³ per atom: 22.569
Total energy in eV/atom: -6.434

(16)
The following is a GGA-PBE calculation of a relaxed NdEr2Hg5 crystal, from Alexandria via LeMat-Bulk.

Structure (POSCAR):
```
NdEr2Hg5
1.0
-2.616 2.616 7.335
2.616 -2.616 7.335
2.616 2.616 -7.335
Nd Er Hg
1 2 5
Direct
0.000 0.000 0.000
0.266 0.266 0.000
0.734 0.734 0.000
0.130 0.630 0.500
0.370 0.870 0.500
0.500 0.500 0.000
0.630 0.130 0.500
0.870 0.370 0.500
```

Summary:
Symmetry: I4/mmm, No. 139
Energy relative to the elements in meV per atom: -437
Density of states at the Fermi level in states/eV/cell: 3.49
V in Å³ per atom: 25.095
Total energy in eV/atom: -2.362

(17)
The following is a GGA-PBE calculation of a relaxed Pm2PRu crystal, from Alexandria via LeMat-Bulk.

Structure (POSCAR):
```
Pm2PRu
1.0
3.620 0.000 0.000
0.000 3.620 0.000
0.000 0.000 6.660
Pm P Ru
2 1 1
Direct
0.000 0.000 0.243
0.000 0.000 0.757
0.500 0.500 0.000
0.500 0.500 0.500
```

Summary:
Symmetry: P4/mmm, No. 123
ΔE to the lowest computed polymorph in kJ/mol of formula units: 0.0
Energy relative to the elements in meV per atom: -597
Density of states at the Fermi level in states/eV/cell: 2.70
V in Å³ per atom: 21.816
Total energy in eV/atom: -6.643